(1)
VASP calculation (PBE) on Na2InH2 after structural relaxation.

a b c (Å): 4.1307 4.1307 10.9144
angles (deg): 90.00 90.00 90.00
Closest atoms and distances in Å follow each position.
Space group I4/mmm (No. 139)
Unique sites:
Na1 0.0000 0.0000 0.1764 [4 per cell]  4 H 2.22
In1 0.0000 0.0000 0.5000 [2 per cell]  8 H 3.42, 10 Na 3.50-3.53
H1 0.0000 0.5000 0.2500 [4 per cell]  4 Na 2.22

Results
The calculation puts the relative energy among the computed polymorphs at 0.08 eV/f.u.


(2)
VASP calculation (PBE) on Na2InH after structural relaxation.

a b c (Å): 6.5957 6.5957 8.6694
angles (deg): 90.00 90.00 90.00
Closest atoms and distances in Å follow each position.
Space group I-42d (No. 122)
Unique sites:
Na1 0.1027 0.2500 0.1250 [8 per cell]  2 H 2.09
In1 0.0000 0.0000 0.5000 [4 per cell]  4 Na 3.28
H1 0.0000 0.0000 0.0000 [4 per cell]  4 Na 2.09

Results
The calculation puts the relative energy among the computed polymorphs at 0.49 eV/f.u.


no.,total magnetic moment (μB/f.u.)
1,0.0
2,0.0